1.
# CsCO3 | Alexandria | PBE | relaxed
# DOS at the Fermi energy: 0.000 states/eV per atom
# DFT total energy: -6.427 eV per atom
data_CsCO3
_chemical_formula_sum 'Cs4 C4 O12'
_space_group_name_H-M_alt 'P 1 21/c 1'
_space_group_IT_number 14
_space_group_name_Hall '-P 2ybc'
_cell_length_a 5.504
_cell_length_b 6.003
_cell_length_c 11.559
_cell_angle_alpha 90.00
_cell_angle_beta 90.24
_cell_angle_gamma 90.00
loop_
_atom_site_label
_atom_site_type_symbol
_atom_site_fract_x
_atom_site_fract_y
_atom_site_fract_z
Cs1 Cs 0.011 0.235 0.365
C1 C 0.473 0.730 0.394
O1 O 0.246 0.741 0.390
O2 O 0.365 0.158 0.657
O3 O 0.408 0.070 0.035

2.
# SrPr2YSe4 | Alexandria | PBE | relaxed
# DOS at the Fermi energy: 0.421 states/eV per atom
# DFT total energy: -5.805 eV per atom
data_SrPr2YSe4
_chemical_formula_sum 'Sr1 Pr2 Y1 Se4'
_space_group_name_H-M_alt 'P 1 2/m 1'
_space_group_IT_number 10
_space_group_name_Hall '-P 2y'
_cell_length_a 7.355
_cell_length_b 4.221
_cell_length_c 7.418
_cell_angle_alpha 90.00
_cell_angle_beta 108.94
_cell_angle_gamma 90.00
loop_
_atom_site_label
_atom_site_type_symbol
_atom_site_fract_x
_atom_site_fract_y
_atom_site_fract_z
Sr1 Sr 0.000 0.000 0.000
Pr1 Pr 0.000 0.500 0.500
Pr2 Pr 0.500 0.000 0.500
Y1 Y 0.500 0.500 0.000
Se1 Se 0.258 0.500 0.247
Se2 Se 0.261 0.000 0.760

3.
# BC3 | Alexandria | PBE | relaxed
# ΔE to the lowest computed polymorph: 37 meV per atom
# Formation energy: 278.1 meV per atom
# DOS at the Fermi energy: 0.070 states/eV per atom
data_BC3
_chemical_formula_sum 'B6 C18'
_space_group_name_H-M_alt 'C 1 2 1'
_space_group_IT_number 5
_space_group_name_Hall 'C 2y'
_cell_length_a 3.586
_cell_length_b 11.584
_cell_length_c 3.588
_cell_angle_alpha 90.00
_cell_angle_beta 92.02
_cell_angle_gamma 90.00
loop_
_atom_site_label
_atom_site_type_symbol
_atom_site_fract_x
_atom_site_fract_y
_atom_site_fract_z
B1 B 0.000 0.000 0.000
B2 B 0.246 0.390 0.745
C1 C 0.000 0.150 0.500
C2 C 0.000 0.305 0.000
C3 C 0.000 0.495 0.500
C4 C 0.000 0.650 0.000
C5 C 0.000 0.804 0.500
C6 C 0.243 0.573 0.257
C7 C 0.250 0.230 0.248

4.
# PrDy3YTh | Alexandria | PBE | relaxed
# Formation energy: 28.8 meV per atom
# DOS at the Fermi energy: 1.509 states/eV per atom
data_PrDy3YTh
_chemical_formula_sum 'Pr2 Dy6 Y2 Th2'
_space_group_name_H-M_alt 'P 1 21/m 1'
_space_group_IT_number 11
_space_group_name_Hall '-P 2yb'
_cell_length_a 8.010
_cell_length_b 5.081
_cell_length_c 10.160
_cell_angle_alpha 90.00
_cell_angle_beta 108.86
_cell_angle_gamma 90.00
loop_
_atom_site_label
_atom_site_type_symbol
_atom_site_fract_x
_atom_site_fract_y
_atom_site_fract_z
Pr1 Pr 0.167 0.250 0.291
Dy1 Dy 0.168 0.750 0.544
Dy2 Dy 0.175 0.750 0.042
Dy3 Dy 0.176 0.250 0.794
Y1 Y 0.498 0.250 0.629
Th1 Th 0.498 0.750 0.880

5.
# TaTeRu | Alexandria | PBE | relaxed
# ΔE to the lowest computed polymorph: 194 meV per atom
# DOS at the Fermi energy: 0.422 states/eV per atom
data_TaTeRu
_chemical_formula_sum 'Ta4 Te4 Ru4'
_space_group_name_H-M_alt 'C 1 2/m 1'
_space_group_IT_number 12
_space_group_name_Hall '-C 2y'
_cell_length_a 12.171
_cell_length_b 5.696
_cell_length_c 3.445
_cell_angle_alpha 90.00
_cell_angle_beta 98.41
_cell_angle_gamma 90.00
loop_
_atom_site_label
_atom_site_type_symbol
_atom_site_fract_x
_atom_site_fract_y
_atom_site_fract_z
Ta1 Ta 0.126 0.000 0.057
Te1 Te 0.177 0.500 0.321
Ru1 Ru 0.000 0.243 0.500